Record 1
A plane-wave DFT calculation with GGA-PBE was carried out for an optimized crystal structure of Sm4Ge2N.

Calculated values
E_tot (eV/atom): -6.09
Magnetic moment (μB per cell): 0.0

```
data_Sm4Ge2N
_symmetry_space_group_name_H-M 'C 1 2/m 1'
_symmetry_Int_Tables_number 12
_symmetry_space_group_name_Hall '-C 2y'
_cell_length_a 12.0006
_cell_length_b 3.9802
_cell_length_c 8.3578
_cell_angle_alpha 90.00
_cell_angle_beta 124.94
_cell_angle_gamma 90.00
loop_
_atom_site_label
_atom_site_fract_x
_atom_site_fract_y
_atom_site_fract_z
Sm1 0.0802 0.0000 0.3427
Sm2 0.1581 0.5000 0.0758
Ge1 0.1168 0.5000 0.6654
N1 0.0000 0.0000 0.0000
```


Record 2
A plane-wave DFT calculation with GGA-PBE was carried out for an optimized crystal structure of Sm3GeN.

Calculated values
E_tot (eV/atom): -6.30
Magnetic moment (μB per cell): 0.0

```
data_Sm3GeN
_symmetry_space_group_name_H-M 'C m c m'
_symmetry_Int_Tables_number 63
_symmetry_space_group_name_Hall '-C 2c 2'
_cell_length_a 4.8154
_cell_length_b 20.8189
_cell_length_c 4.8578
_cell_angle_alpha 90.00
_cell_angle_beta 90.00
_cell_angle_gamma 90.00
loop_
_atom_site_label
_atom_site_fract_x
_atom_site_fract_y
_atom_site_fract_z
Sm1 0.0000 0.0582 0.2500
Sm2 0.0000 0.1916 0.7500
Sm3 0.0000 0.4261 0.2500
Ge1 0.0000 0.3357 0.7500
N1 0.0000 0.0699 0.7500
```


Record 3
A plane-wave DFT calculation with GGA-PBE was carried out for an optimized crystal structure of Sm3GeN.

Calculated values
E_tot (eV/atom): -6.37
Magnetic moment (μB per cell): 2.0

```
data_Sm3GeN
_symmetry_space_group_name_H-M 'C m c m'
_symmetry_Int_Tables_number 63
_symmetry_space_group_name_Hall '-C 2c 2'
_cell_length_a 3.7749
_cell_length_b 12.5231
_cell_length_c 9.6821
_cell_angle_alpha 90.00
_cell_angle_beta 90.00
_cell_angle_gamma 90.00
loop_
_atom_site_label
_atom_site_fract_x
_atom_site_fract_y
_atom_site_fract_z
Sm1 0.0000 0.0566 0.2500
Sm2 0.0000 0.3730 0.0521
Ge1 0.0000 0.2545 0.7500
N1 0.0000 0.0000 0.0000
```


Record 4
A plane-wave DFT calculation with GGA-PBE was carried out for an optimized crystal structure of Sm6Ge2N.

Calculated values
E_tot (eV/atom): -5.82
Magnetic moment (μB per cell): 1.1

```
data_Sm6Ge2N
_symmetry_space_group_name_H-M 'P 1 21/c 1'
_symmetry_Int_Tables_number 14
_symmetry_space_group_name_Hall '-P 2ybc'
_cell_length_a 6.3941
_cell_length_b 7.8502
_cell_length_c 11.2627
_cell_angle_alpha 90.00
_cell_angle_beta 122.72
_cell_angle_gamma 90.00
loop_
_atom_site_label
_atom_site_fract_x
_atom_site_fract_y
_atom_site_fract_z
Sm1 0.1190 0.1607 0.4462
Sm2 0.3060 0.7094 0.4442
Sm3 0.3698 0.0330 0.2495
Ge1 0.1911 0.1132 0.7563
N1 0.5000 0.0000 0.5000
```


Record 5
A plane-wave DFT calculation with GGA-PBE was carried out for an optimized crystal structure of Sm3Ge5N12.

Calculated values
E_tot (eV/atom): -6.80
Magnetic moment (μB per cell): 56.0

```
data_Sm3Ge5N12
_symmetry_space_group_name_H-M 'I a -3 d'
_symmetry_Int_Tables_number 230
_symmetry_space_group_name_Hall '-I 4bd 2c 3'
_cell_length_a 12.6721
_cell_length_b 12.6721
_cell_length_c 12.6721
_cell_angle_alpha 90.00
_cell_angle_beta 90.00
_cell_angle_gamma 90.00
loop_
_atom_site_label
_atom_site_fract_x
_atom_site_fract_y
_atom_site_fract_z
Sm1 0.0000 0.2500 0.1250
Ge1 0.0000 0.0000 0.0000
Ge2 0.0000 0.2500 0.3750
N1 0.0323 0.0525 0.6475
```


Record 6
A plane-wave DFT calculation with GGA-PBE was carried out for an optimized crystal structure of Sm6Ge2N.

Calculated values
E_tot (eV/atom): -5.63
Magnetic moment (μB per cell): 0.6

```
data_Sm6Ge2N
_symmetry_space_group_name_H-M 'P 42/m n m'
_symmetry_Int_Tables_number 136
_symmetry_space_group_name_Hall '-P 4n 2n'
_cell_length_a 6.5842
_cell_length_b 6.5842
_cell_length_c 12.2004
_cell_angle_alpha 90.00
_cell_angle_beta 90.00
_cell_angle_gamma 90.00
loop_
_atom_site_label
_atom_site_fract_x
_atom_site_fract_y
_atom_site_fract_z
Sm1 0.1922 0.1922 0.1436
Sm2 0.2238 0.2238 0.5000
Ge1 0.0000 0.0000 0.3299
N1 0.0000 0.0000 0.0000
```